First-principles (GGA-PBE) data for a relaxed TbTeH2 crystal, as listed in Alexandria.

Results
Electronic total energy = -4.21 eV per atom

Cell: 3.6815 3.6815 5.8033 Å, 71.51 71.51 60.00°
Fractional positions:
Te 0.5000 0.5000 0.5000
H 0.3075 0.3075 0.0776
H 0.6925 0.6925 0.9224
Tb 0.0000 0.0000 0.0000

---

First-principles (GGA-PBE) data for a relaxed PuGa2Ir crystal, as listed in Alexandria.

Results
Electronic total energy = -7.79 eV per atom
Energy of formation = -46.4 kJ/mol of atoms

Cell: 4.4083 6.5162 10.3944 Å, 90.00 90.00 90.00°
Last column: magnetic moment on the atom in μB.
Fractional positions:
Ga 0.7500 0.2637 0.5484  -0.01
Ga 0.2500 0.4383 0.6562  0.01
Ga 0.7500 0.0617 0.1562  0.01
Ga 0.2500 0.2363 0.0484  -0.01
Ga 0.2500 0.7363 0.4516  -0.01
Ga 0.7500 0.5617 0.3438  0.01
Ga 0.2500 0.9383 0.8438  0.01
Ga 0.7500 0.7637 0.9516  -0.01
Pu 0.2500 0.2372 0.3406  5.05
Pu 0.7500 0.2628 0.8406  5.05
Pu 0.2500 0.7372 0.1594  5.05
Pu 0.7500 0.7628 0.6594  5.05
Ir 0.7500 0.4506 0.1050  -0.19
Ir 0.7500 0.9506 0.3950  -0.19
Ir 0.2500 0.0494 0.6050  -0.19
Ir 0.2500 0.5494 0.8950  -0.19

---

First-principles (GGA-PBE) data for a relaxed YBeIrN crystal, as listed in Alexandria.

Results
Electronic total energy = -7.88 eV per atom
ΔE_f (raw) = -23.9 kcal/mol of atoms

Cell: 3.6898 3.6898 8.1064 Å, 90.00 90.00 90.00°
Fractional positions:
N 0.5000 0.0000 0.8729
N 0.0000 0.5000 0.1271
Ir 0.5000 0.5000 0.5000
Ir 0.0000 0.0000 0.5000
Y 0.5000 0.0000 0.1547
Y 0.0000 0.5000 0.8453
Be 0.5000 0.0000 0.6760
Be 0.0000 0.5000 0.3240

---

First-principles (GGA-PBE) data for a relaxed CeAlGe2Pd4 crystal, as listed in Alexandria.

Results
Electronic total energy = -5.64 eV per atom
Energy of formation = -65.2 kJ/mol of atoms

Cell: 4.3511 4.3511 8.9295 Å, 75.90 75.90 60.00°
Last column: magnetic moment on the atom in μB.
Fractional positions:
Ge 0.2524 0.2524 0.2429  -0.01
Ge 0.7476 0.7476 0.7571  -0.01
Pd 0.5957 0.5957 0.2128  -0.01
Pd 0.4043 0.4043 0.7872  -0.01
Pd 0.1376 0.1376 0.5873  0.00
Pd 0.8624 0.8624 0.4127  0.00
Ce 0.0000 0.0000 0.0000  0.51
Al 0.5000 0.5000 0.5000  0.00

---

First-principles (GGA-PBE) data for a relaxed KTaCr crystal, as listed in Alexandria.

Results
Electronic total energy = -6.53 eV per atom
Energy above the most stable polymorph in this dataset = 0.0 meV/atom
Energy of formation = 95.9 kJ/mol of atoms

Cell: 8.4375 8.2244 2.9646 Å, 83.83 75.72 20.45°
Fractional positions:
K 0.3393 0.3393 0.6607
Ta 0.6357 0.6357 0.3643
Cr 0.0250 0.0250 0.9750

---

First-principles (GGA-PBE) data for a relaxed Rb3Tm2MgTe6 crystal, as listed in Alexandria.

Results
Electronic total energy = -3.82 eV per atom
ΔE_f (raw) = -26.1 kcal/mol of atoms

Cell: 7.6525 7.6525 9.0232 Å, 98.13 98.13 120.02°
Fractional positions:
Tm 0.3335 0.6665 0.0000
Tm 0.6665 0.3335 0.0000
Te 0.0649 0.3957 0.1951
Te 0.7343 0.7343 0.1957
Te 0.9351 0.6043 0.8049
Te 0.3957 0.0649 0.1951
Te 0.2657 0.2657 0.8043
Te 0.6043 0.9351 0.8049
Mg 0.0000 0.0000 0.0000
Rb 0.1675 0.8325 0.5000
Rb 0.5000 0.5000 0.5000
Rb 0.8325 0.1675 0.5000

---

First-principles (GGA-PBE) data for a relaxed Mg2FeAs crystal, as listed in Alexandria.

Results
Electronic total energy = -3.90 eV per atom
Energy of formation = 17.1 kJ/mol of atoms

Cell: 4.6845 4.6845 5.5394 Å, 80.30 80.30 36.33°
Last column: magnetic moment on the atom in μB.
Fractional positions:
Mg 0.4990 0.4990 0.5155  -0.02
Mg 0.0010 0.0010 0.9845  -0.02
As 0.2500 0.2500 0.2500  -0.01
Fe 0.7500 0.7500 0.7500  2.42

---

First-principles (GGA-PBE) data for a relaxed Cs5YTe4 crystal, as listed in Alexandria.

Results
Electronic total energy = -3.35 eV per atom
ΔE_f (raw) = -23.6 kcal/mol of atoms

Cell: 5.1282 9.6645 11.7238 Å, 114.23 102.63 90.00°
Fractional positions:
Cs 0.5000 0.5000 0.0000
Cs 0.1707 0.9060 0.3414
Cs 0.8288 0.5712 0.6576
Cs 0.8293 0.0940 0.6586
Cs 0.1712 0.4288 0.3424
Te 0.6563 0.1535 0.3126
Te 0.9997 0.7902 0.9993
Te 0.0003 0.2098 0.0007
Te 0.3437 0.8465 0.6874
Y 0.5000 0.0000 0.0000

---

First-principles (GGA-PBE) data for a relaxed CsBaNa3 crystal, as listed in Alexandria.

Results
Electronic total energy = -0.95 eV per atom
Energy above the most stable polymorph in this dataset = 49.3 meV/atom
Energy of formation = 38.2 kJ/mol of atoms

Cell: 6.8252 6.8252 6.8252 Å, 90.00 90.00 90.00°
Fractional positions:
Na 0.0000 0.5000 0.0000
Na 0.5000 0.0000 0.0000
Na 0.0000 0.0000 0.5000
Ba 0.5000 0.5000 0.5000
Cs 0.0000 0.0000 0.0000

---

First-principles (GGA-PBE) data for a relaxed KScAl2 crystal, as listed in Alexandria.

Results
Electronic total energy = -3.26 eV per atom
Energy above the most stable polymorph in this dataset = 490.1 meV/atom
Energy of formation = 45.2 kJ/mol of atoms

Cell: 5.1063 5.1063 5.1063 Å, 60.00 60.00 60.00°
Last column: magnetic moment on the atom in μB.
Fractional positions:
K 0.5000 0.5000 0.5000  0.03
Al 0.2500 0.2500 0.2500  0.01
Al 0.0000 0.0000 0.0000  0.01
Sc 0.7500 0.7500 0.7500  0.55

---

First-principles (GGA-PBE) data for a relaxed K3Rb2Cd4 crystal, as listed in Alexandria.

Results
Electronic total energy = -1.02 eV per atom
Energy of formation = -2.7 kJ/mol of atoms

Cell: 9.3814 9.7443 9.7320 Å, 90.00 90.00 107.38°
Fractional positions:
K 0.0000 0.5000 0.5000
K 0.2504 0.7527 0.1855
K 0.2496 0.2473 0.6855
K 0.7504 0.7527 0.3145
K 0.5000 0.5000 0.0000
K 0.7496 0.2473 0.8145
Cd 0.8850 0.4912 0.1094
Cd 0.1169 0.9275 0.4721
Cd 0.8831 0.0725 0.5279
Cd 0.1150 0.5088 0.8906
Cd 0.6150 0.5088 0.6094
Cd 0.3850 0.4912 0.3906
Cd 0.3831 0.0725 0.9721
Cd 0.6169 0.9275 0.0279
Rb 0.0727 0.1909 0.1709
Rb 0.5727 0.1909 0.3291
Rb 0.4273 0.8091 0.6709
Rb 0.9273 0.8091 0.8291

---

First-principles (GGA-PBE) data for a relaxed NdY3Tm6Th2 crystal, as listed in Alexandria.

Results
Electronic total energy = -5.45 eV per atom
Energy of formation = 3.3 kJ/mol of atoms

Cell: 6.1543 6.1543 11.6668 Å, 95.06 95.06 119.96°
Fractional positions:
Tm 0.4218 0.0837 0.2479
Tm 0.5782 0.9163 0.7521
Tm 0.9163 0.5782 0.7521
Tm 0.2546 0.2546 0.7521
Tm 0.0837 0.4218 0.2479
Tm 0.7454 0.7454 0.2479
Nd 0.0000 0.0000 0.0000
Y 0.5000 0.5000 0.5000
Y 0.1663 0.8337 0.5000
Y 0.8337 0.1663 0.5000
Th 0.3332 0.6668 0.0000
Th 0.6668 0.3332 0.0000

---

First-principles (GGA-PBE) data for a relaxed PrPaOsPd crystal, as listed in Alexandria.

Results
Electronic total energy = -7.91 eV per atom
Energy of formation = -22.6 kJ/mol of atoms

Cell: 4.9839 4.9839 4.9839 Å, 60.00 60.00 60.00°
Fractional positions:
Pd 0.0000 0.0000 0.0000
Os 0.5000 0.5000 0.5000
Pa 0.2500 0.2500 0.2500
Pr 0.7500 0.7500 0.7500

---

First-principles (GGA-PBE) data for a relaxed P4C3 crystal, as listed in Alexandria.

Results
Electronic total energy = -5.65 eV per atom
Energy above the most stable polymorph in this dataset = 891.1 meV/atom
Energy of formation = 134.9 kJ/mol of atoms

Cell: 4.1456 4.1456 4.1456 Å, 90.00 90.00 90.00°
Fractional positions:
P 0.5000 0.5000 0.0000
P 0.5000 0.0000 0.5000
P 0.0000 0.0000 0.0000
P 0.0000 0.5000 0.5000
C 0.5000 0.0000 0.0000
C 0.0000 0.0000 0.5000
C 0.0000 0.5000 0.0000

---

First-principles (GGA-PBE) data for a relaxed CsHg2 crystal, as listed in Alexandria.

Results
Electronic total energy = -0.71 eV per atom
Energy above the most stable polymorph in this dataset = 52.3 meV/atom
Energy of formation = -21.2 kJ/mol of atoms

Cell: 4.3490 4.3490 6.9082 Å, 108.35 108.35 90.00°
Fractional positions:
Hg 0.7007 0.7007 0.4013
Hg 0.2993 0.2993 0.5987
Cs 0.0000 0.0000 0.0000

---

First-principles (GGA-PBE) data for a relaxed NbSI crystal, as listed in Alexandria.

Results
Electronic total energy = -5.90 eV per atom
ΔE_f (raw) = -14.9 kcal/mol of atoms

Cell: 3.4987 7.9948 6.1261 Å, 90.00 90.00 89.97°
Last column: magnetic moment on the atom in μB.
Fractional positions:
Nb 0.9558 0.4529 0.4834  0.71
Nb 0.9558 0.4530 0.9834  0.71
S 0.4555 0.5853 0.7333  0.00
S 0.4559 0.3206 0.2333  0.00
I 0.9553 0.7513 0.2334  -0.03
I 0.9560 0.1546 0.7334  -0.03

---

First-principles (GGA-PBE) data for a relaxed Na3Sm2HoS6 crystal, as listed in Alexandria.

Results
Electronic total energy = -5.39 eV per atom
ΔE_f (raw) = -42.1 kcal/mol of atoms

Cell: 7.0005 7.0005 7.0817 Å, 99.49 99.49 119.99°
Fractional positions:
Sm 0.3334 0.6666 0.0000
Sm 0.6666 0.3334 0.0000
S 0.7494 0.7494 0.2285
S 0.5965 0.9236 0.7706
S 0.4035 0.0764 0.2294
S 0.0764 0.4035 0.2294
S 0.2506 0.2506 0.7715
S 0.9236 0.5965 0.7706
Na 0.8332 0.1668 0.5000
Na 0.1668 0.8332 0.5000
Na 0.5000 0.5000 0.5000
Ho 0.0000 0.0000 0.0000

---

First-principles (GGA-PBE) data for a relaxed Li2Tm3Mg9 crystal, as listed in Alexandria.

Results
Electronic total energy = -2.24 eV per atom
Energy of formation = 1.2 kJ/mol of atoms

Cell: 4.9964 8.6167 8.6167 Å, 81.88 73.15 73.15°
Fractional positions:
Mg 0.8615 0.4076 0.8694
Mg 0.1385 0.5924 0.1306
Mg 0.8615 0.8694 0.4076
Mg 0.3674 0.2603 0.0048
Mg 0.0000 0.5000 0.5000
Mg 0.6326 0.9952 0.7397
Mg 0.1385 0.1306 0.5924
Mg 0.3674 0.0048 0.2603
Mg 0.6326 0.7397 0.9952
Tm 0.7196 0.2804 0.2804
Tm 0.2804 0.7196 0.7196
Tm 0.0000 0.0000 0.0000
Li 0.5000 0.6546 0.3454
Li 0.5000 0.3454 0.6546

---

First-principles (GGA-PBE) data for a relaxed CeCu2Sb2 crystal, as listed in Alexandria.

Results
Electronic total energy = -4.95 eV per atom
ΔE_f (raw) = -10.9 kcal/mol of atoms

Cell: 4.3692 4.3713 11.4094 Å, 90.00 101.04 90.00°
Last column: magnetic moment on the atom in μB.
Fractional positions:
Ce 0.6392 0.7500 0.2785  0.63
Ce 0.3608 0.2500 0.7215  0.63
Sb 0.7499 0.2500 0.4998  -0.01
Sb 0.0991 0.2500 0.1982  -0.01
Sb 0.9009 0.7500 0.8018  -0.01
Sb 0.2501 0.7500 0.5002  -0.01
Cu 0.9708 0.2500 0.9416  0.00
Cu 0.0292 0.7500 0.0584  0.00
Cu 0.5282 0.2500 0.0565  0.00
Cu 0.4718 0.7500 0.9435  0.00

---

First-principles (GGA-PBE) data for a relaxed LiMnTe2 crystal, as listed in Alexandria.

Results
Electronic total energy = -4.11 eV per atom
ΔE_f (raw) = 5.3 kcal/mol of atoms

Cell: 5.1313 5.1313 5.1313 Å, 60.00 60.00 60.00°
Last column: magnetic moment on the atom in μB.
Fractional positions:
Li 0.5000 0.5000 0.5000  0.00
Te 0.0000 0.0000 0.0000  -0.11
Te 0.7500 0.7500 0.7500  -0.05
Mn 0.2500 0.2500 0.2500  4.11

---

First-principles (GGA-PBE) data for a relaxed YHo3Tm5 crystal, as listed in Alexandria.

Results
Electronic total energy = -4.19 eV per atom
Energy above the most stable polymorph in this dataset = 306.4 meV/atom
Energy of formation = 52.0 kJ/mol of atoms

Cell: 9.3861 9.3861 11.4382 Å, 52.82 52.82 73.26°
Fractional positions:
Ho 0.0000 0.0000 0.5000
Ho 0.6562 0.6562 0.3660
Ho 0.0000 0.0000 0.0000
Ho 0.3438 0.3438 0.6340
Ho 0.6988 0.6988 0.8121
Ho 0.3012 0.3012 0.1879
Tm 0.5092 0.5092 0.7718
Tm 0.6511 0.1491 0.7514
Tm 0.3489 0.8509 0.2486
Tm 0.8509 0.3489 0.2486
Tm 0.2617 0.7383 0.0000
Tm 0.1491 0.6511 0.7514
Tm 0.4908 0.4908 0.2282
Tm 0.7383 0.2617 0.0000
Tm 0.1867 0.1867 0.0346
Tm 0.8133 0.8133 0.9654
Y 0.8523 0.8523 0.3988
Y 0.1477 0.1477 0.6012

---

First-principles (GGA-PBE) data for a relaxed YNb3Ni crystal, as listed in Alexandria.

Results
Electronic total energy = -7.87 eV per atom
Energy above the most stable polymorph in this dataset = 0.0 meV/atom
Energy of formation = 59.7 kJ/mol of atoms

Cell: 4.7531 4.7531 4.7531 Å, 90.00 90.00 90.00°
Fractional positions:
Ni 0.0000 0.0000 0.0000
Y 0.5000 0.5000 0.5000
Nb 0.0000 0.0000 0.5000
Nb 0.0000 0.5000 0.0000
Nb 0.5000 0.0000 0.0000

---

First-principles (GGA-PBE) data for a relaxed Ac2YTl2 crystal, as listed in Alexandria.

Results
Electronic total energy = -4.17 eV per atom
Energy above the most stable polymorph in this dataset = 22.9 meV/atom
Energy of formation = -27.9 kJ/mol of atoms

Cell: 4.9934 6.6441 6.6441 Å, 65.09 67.93 67.93°
Fractional positions:
Ac 0.8045 0.6955 0.6955
Ac 0.1955 0.3045 0.3045
Y 0.0000 0.0000 0.0000
Tl 0.5000 0.7275 0.2725
Tl 0.5000 0.2725 0.7275

---

First-principles (GGA-PBE) data for a relaxed Ni2IrOs crystal, as listed in Alexandria.

Results
Electronic total energy = -7.78 eV per atom
Energy above the most stable polymorph in this dataset = 110.4 meV/atom
Energy of formation = 12.4 kJ/mol of atoms

Cell: 2.6556 3.6371 5.2735 Å, 90.00 90.00 90.00°
Fractional positions:
Ni 0.0000 0.0000 0.0056
Ni 0.0000 0.0000 0.4944
Os 0.5000 0.5000 0.2500
Ir 0.5000 0.5000 0.7500